Entry 1:
DFT (GGA-PBEsol) results for a relaxed Zr2Zn crystal.

Lattice parameters (Å, degrees): 5.552 5.552 7.465 110.50 110.50 32.94
Atoms (fractional coordinates):
Zr 0.015 0.015 0.221
Zr 0.339 0.339 0.401
Zr 0.661 0.661 0.599
Zr 0.985 0.985 0.779
Zn 0.313 0.313 0.933
Zn 0.687 0.687 0.067

Properties
**E_form**: -0.129 eV per atom
**Fermi-level density of states**: 2.8 states/eV/f.u.
**SG**: C2/m


Entry 2:
DFT (GGA-PBEsol) results for a relaxed CaCuAg2 crystal.

Lattice parameters (Å, degrees): 3.446 4.238 5.513 90.00 108.00 90.00
Atoms (fractional coordinates):
Ca 0.000 0.000 0.000
Cu 0.599 0.500 0.201
Ag 0.322 0.500 0.646
Ag 0.734 0.000 0.469

Properties
**E_form**: 0.004 eV per atom
**Offset from the most stable computed form**: 40 meV per atom
**Fermi-level density of states**: 1.5 states/eV/f.u.
**SG**: Pm